Entry 1:
# Tb5Pr12Ho

An optimized crystal structure of Tb5Pr12Ho (PBE, the Alexandria database).

Geometry as extended XYZ:
```
18
Lattice="-4.3755 10.0598 10.9621 -0.9783 -0.3856 10.9335 4.9134 1.5965 0.4958" Properties=species:S:1:pos:R:3 pbc="T T T"
Pr -1.2003 9.2057 9.4096
Pr -0.6612 -0.2361 7.3125
Pr -1.4648 3.3682 3.6703
Pr 0.2208 11.5069 15.0790
Pr -0.0495 5.6828 9.3541
Pr 2.0027 8.2881 7.7877
Pr -1.8339 8.9065 16.6536
Pr -3.2522 6.5996 10.9754
Pr 1.3935 2.3643 5.7379
Pr 1.7382 2.4506 2.0485
Pr -0.3909 5.5879 13.0375
Pr 2.8118 4.6711 11.4161
Tb -1.5158 9.0534 13.0271
Tb 0.2689 5.8282 5.7290
Tb -1.7852 3.2272 7.2961
Tb -3.5686 6.4470 14.5996
Tb 1.0754 2.2173 9.3645
Ho 0.0000 0.0000 0.0001
```

Calculated values
SG: Cmmm, No. 65
total DFT energy (no corrections): -4.7070 eV/atom
calculated formation energy: 0.46 kcal/mol of atoms

Entry 2:
# Cu2AgBiMo

An optimized crystal structure of Cu2AgBiMo (PBE, the Alexandria database).

Geometry as extended XYZ:
```
5
Lattice="4.7966 0.0000 0.0000 0.0000 5.2382 0.0000 0.0000 0.0000 4.7966" Properties=species:S:1:pos:R:3 pbc="T T T"
Mo 0.0000 0.0000 0.0000
Cu 2.3983 0.0000 0.0000
Cu 0.0000 0.0000 2.3983
Ag 2.3983 2.6191 2.3983
Bi 0.0000 2.6191 0.0000
```

Calculated values
SG: P4/mmm, No. 123
total DFT energy (no corrections): -4.0080 eV/atom
calculated formation energy: 26.36 kcal/mol of atoms

Entry 3:
# PuMg2Cu

An optimized crystal structure of PuMg2Cu (PBE, the Alexandria database).

Geometry as extended XYZ:
```
4
Lattice="-0.3584 2.6925 1.3898 -3.0266 -0.2520 -0.2924 -0.4084 -4.0291 7.7005" Properties=species:S:1:pos:R:3 pbc="T T T"
Mg -0.0793 -0.7827 1.4959
Mg -0.3291 -3.2464 6.2046
Cu -1.6925 1.2203 0.5487
Pu -1.8967 -0.7943 4.3990
```

Calculated values
SG: P4/mmm, No. 123
total DFT energy (no corrections): -5.3807 eV/atom
calculated formation energy: 0.54 kcal/mol of atoms

Entry 4:
# SrURh2

An optimized crystal structure of SrURh2 (PBE, the Alexandria database).

Geometry as extended XYZ:
```
4
Lattice="-0.4017 2.7816 1.9544 -3.3992 -0.3550 -0.1934 0.1004 -4.3279 6.1803" Properties=species:S:1:pos:R:3 pbc="T T T"
U -1.9004 1.2133 0.8805
Sr -1.8502 -0.9507 3.9707
Rh 0.0807 -3.4805 4.9703
Rh 0.0197 -0.8474 1.2101
```

Calculated values
SG: P4/mmm, No. 123
total DFT energy (no corrections): -7.3254 eV/atom
calculated formation energy: -9.39 kcal/mol of atoms

- What is the total DFT energy (no corrections) in the third record?
  -5.3807 eV/atom

- What is the formula in the second record?
  Cu2AgBiMo

What did the first record say?
# Tb5Pr12Ho

An optimized crystal structure of Tb5Pr12Ho (PBE, the Alexandria database).

Geometry as extended XYZ:
```
18
Lattice="-4.3755 10.0598 10.9621 -0.9783 -0.3856 10.9335 4.9134 1.5965 0.4958" Properties=species:S:1:pos:R:3 pbc="T T T"
Pr -1.2003 9.2057 9.4096
Pr -0.6612 -0.2361 7.3125
Pr -1.4648 3.3682 3.6703
Pr 0.2208 11.5069 15.0790
Pr -0.0495 5.6828 9.3541
Pr 2.0027 8.2881 7.7877
Pr -1.8339 8.9065 16.6536
Pr -3.2522 6.5996 10.9754
Pr 1.3935 2.3643 5.7379
Pr 1.7382 2.4506 2.0485
Pr -0.3909 5.5879 13.0375
Pr 2.8118 4.6711 11.4161
Tb -1.5158 9.0534 13.0271
Tb 0.2689 5.8282 5.7290
Tb -1.7852 3.2272 7.2961
Tb -3.5686 6.4470 14.5996
Tb 1.0754 2.2173 9.3645
Ho 0.0000 0.0000 0.0001
```

Calculated values
SG: Cmmm, No. 65
total DFT energy (no corrections): -4.7070 eV/atom
calculated formation energy: 0.46 kcal/mol of atoms

- What is the formula in the second record?
  Cu2AgBiMo